Record 1
Crystalline BaNp4S6 at its relaxed geometry. Source: Alexandria via LeMat-Bulk, functional PBE-GGA.

Lattice parameters (Å, degrees): 6.8353 6.8353 20.3201 90.00 90.00 145.74
Closest atoms and distances in Å follow each position.
Fractional coordinates of all 22 atoms:
Ba (0.1601, 0.8399, 0.7500)  6 S 3.11-3.21
Ba (0.8399, 0.1601, 0.2500)  6 S 3.11-3.21
Np (0.0980, 0.9020, 0.1242)  6 S 2.68-2.83
Np (0.0980, 0.9020, 0.3758)  6 S 2.68-2.83
Np (0.3640, 0.6360, 0.0402)  6 S 2.71-2.83
Np (0.3640, 0.6360, 0.4598)  6 S 2.71-2.83
Np (0.6360, 0.3640, 0.5402)  6 S 2.71-2.83
Np (0.6360, 0.3640, 0.9598)  6 S 2.71-2.83
Np (0.9020, 0.0980, 0.6242)  6 S 2.68-2.83
Np (0.9020, 0.0980, 0.8758)  6 S 2.68-2.83
S (0.0000, 0.0000, 0.0000)  6 Np 2.81-2.83
S (0.0000, 0.0000, 0.5000)  6 Np 2.81-2.83
S (0.1587, 0.8413, 0.2500)  2 Np 2.68
S (0.2673, 0.7327, 0.5845)  5 Np 2.79-2.83
S (0.2673, 0.7327, 0.9155)  5 Np 2.79-2.83
S (0.4645, 0.5355, 0.1567)  3 Np 2.71-2.74
S (0.4645, 0.5355, 0.3433)  3 Np 2.71-2.74
S (0.5355, 0.4645, 0.6567)  3 Np 2.71-2.74
S (0.5355, 0.4645, 0.8433)  3 Np 2.71-2.74
S (0.7327, 0.2673, 0.0845)  5 Np 2.79-2.83
S (0.7327, 0.2673, 0.4155)  5 Np 2.79-2.83
S (0.8413, 0.1587, 0.7500)  2 Np 2.68

Properties
N(E_F): 33.5 states/eV/f.u.
Space-group type: Cmcm (63)
Energy relative to the elements, uncorrected: -1.499 eV/atom

---

Record 2
Crystalline Ba2NpScS6 at its relaxed geometry. Source: Alexandria via LeMat-Bulk, functional PBE-GGA.

Lattice parameters (Å, degrees): 7.1259 7.2369 12.3874 90.00 125.00 90.00
Closest atoms and distances in Å follow each position.
Fractional coordinates of all 20 atoms:
Ba (0.2386, 0.0467, 0.2491)  8 S 3.20-3.51
Ba (0.2386, 0.4533, 0.7491)  8 S 3.20-3.51
Ba (0.7614, 0.5467, 0.2509)  8 S 3.20-3.51
Ba (0.7614, 0.9533, 0.7509)  8 S 3.20-3.51
Np (0.5000, 0.0000, 0.0000)  6 S 2.59-2.61
Np (0.5000, 0.5000, 0.5000)  6 S 2.59-2.61
Sc (0.0000, 0.0000, 0.5000)  6 S 2.57-2.59
Sc (0.0000, 0.5000, 0.0000)  6 S 2.57-2.59
S (0.1771, 0.2133, 0.9656)  1 Sc 2.59, 1 Np 2.59
S (0.1771, 0.2867, 0.4656)  1 Sc 2.59, 1 Np 2.59
S (0.2526, 0.7115, 0.9657)  1 Sc 2.58, 1 Np 2.61
S (0.2526, 0.7885, 0.4657)  1 Sc 2.58, 1 Np 2.61
S (0.3139, 0.0086, 0.7488)  1 Sc 2.57, 1 Np 2.59
S (0.3139, 0.4914, 0.2488)  1 Sc 2.57, 1 Np 2.59
S (0.6861, 0.5086, 0.7512)  1 Sc 2.57, 1 Np 2.59
S (0.6861, 0.9914, 0.2512)  1 Sc 2.57, 1 Np 2.59
S (0.7474, 0.2115, 0.5343)  1 Sc 2.58, 1 Np 2.61
S (0.7474, 0.2885, 0.0343)  1 Sc 2.58, 1 Np 2.61
S (0.8229, 0.7133, 0.5344)  1 Sc 2.59, 1 Np 2.59
S (0.8229, 0.7867, 0.0344)  1 Sc 2.59, 1 Np 2.59

Properties
N(E_F): 7.3 states/eV/f.u.
Space-group type: P2_1/c (14)
Energy relative to the elements, uncorrected: -1.754 eV/atom

---

Record 3
Crystalline BaNpSe2S at its relaxed geometry. Source: Alexandria via LeMat-Bulk, functional PBE-GGA.

Lattice parameters (Å, degrees): 5.4951 5.4951 5.1704 90.00 90.00 90.00
Closest atoms and distances in Å follow each position.
Fractional coordinates of all 5 atoms:
Ba (0.0000, 0.0000, 0.0000)  8 Se 3.77, 4 S 3.89
Np (0.5000, 0.5000, 0.5000)  2 S 2.59, 4 Se 2.75
Se (0.0000, 0.5000, 0.5000)  2 Np 2.75
Se (0.5000, 0.0000, 0.5000)  2 Np 2.75
S (0.5000, 0.5000, 0.0000)  2 Np 2.59

Properties
N(E_F): 10.1 states/eV/f.u.
Space-group type: P4/mmm (123)
Energy relative to the elements, uncorrected: -1.479 eV/atom

---

Record 4
Crystalline BaNpSeS2 at its relaxed geometry. Source: Alexandria via LeMat-Bulk, functional PBE-GGA.

Lattice parameters (Å, degrees): 5.2166 5.2166 5.5906 90.00 90.00 90.00
Closest atoms and distances in Å follow each position.
Fractional coordinates of all 5 atoms:
Ba (0.0000, 0.0000, 0.0000)  4 S 3.33
Np (0.5000, 0.5000, 0.4032)  4 S 2.62, 2 Se 2.77-2.82
Se (0.5000, 0.5000, 0.8981)  2 Np 2.77-2.82
S (0.0000, 0.5000, 0.3694)  2 Np 2.62
S (0.5000, 0.0000, 0.3694)  2 Np 2.62

Properties
N(E_F): 10.0 states/eV/f.u.
Space-group type: P4mm (99)
Energy relative to the elements, uncorrected: -1.559 eV/atom

---

Record 5
Crystalline BaNpSi2S8 at its relaxed geometry. Source: Alexandria via LeMat-Bulk, functional PBE-GGA.

Lattice parameters (Å, degrees): 6.1838 6.1838 9.0039 90.00 90.00 120.00
Closest atoms and distances in Å follow each position.
Fractional coordinates of all 12 atoms:
Ba (0.0000, 0.0000, 0.0000)  12 S 3.58-3.60
Np (0.0000, 0.0000, 0.5000)  6 S 2.58
Si (0.3333, 0.6667, 0.7490)  4 S 2.06-2.16
Si (0.6667, 0.3333, 0.2510)  4 S 2.06-2.16
S (0.0033, 0.3349, 0.6723)  1 Si 2.16
S (0.3317, 0.9967, 0.6723)  1 Si 2.16
S (0.3333, 0.6667, 0.9782)  1 Si 2.06
S (0.3349, 0.3317, 0.3277)  1 Si 2.16
S (0.6651, 0.6683, 0.6723)  1 Si 2.16
S (0.6667, 0.3333, 0.0218)  1 Si 2.06
S (0.6683, 0.0033, 0.3277)  1 Si 2.16
S (0.9967, 0.6651, 0.3277)  1 Si 2.16

Properties
N(E_F): 5.7 states/eV/f.u.
Space-group type: P-3 (147)
Energy relative to the elements, uncorrected: -0.890 eV/atom

---

Record 6
Crystalline Ba2SmNpS6 at its relaxed geometry. Source: Alexandria via LeMat-Bulk, functional PBE-GGA.

Lattice parameters (Å, degrees): 7.2434 7.5252 12.6615 90.00 124.74 90.00
Closest atoms and distances in Å follow each position.
Fractional coordinates of all 20 atoms:
Ba (0.2333, 0.0620, 0.2502)  6 S 3.18-3.43
Ba (0.2333, 0.4380, 0.7502)  6 S 3.18-3.43
Ba (0.7667, 0.5620, 0.2498)  6 S 3.18-3.43
Ba (0.7667, 0.9380, 0.7498)  6 S 3.18-3.43
Sm (0.5000, 0.0000, 0.0000)  6 S 2.76-2.79
Sm (0.5000, 0.5000, 0.5000)  6 S 2.76-2.79
Np (0.0000, 0.0000, 0.5000)  6 S 2.60-2.63
Np (0.0000, 0.5000, 0.0000)  6 S 2.60-2.63
S (0.1470, 0.2122, 0.9531)  1 Np 2.63, 1 Sm 2.78
S (0.1470, 0.2878, 0.4531)  1 Np 2.63, 1 Sm 2.78
S (0.2441, 0.6963, 0.9552)  1 Np 2.60, 1 Sm 2.79
S (0.2441, 0.8037, 0.4552)  1 Np 2.60, 1 Sm 2.79
S (0.3282, 0.0217, 0.7417)  1 Np 2.60, 1 Sm 2.76
S (0.3282, 0.4783, 0.2417)  1 Np 2.60, 1 Sm 2.76
S (0.6718, 0.5217, 0.7583)  1 Np 2.60, 1 Sm 2.76
S (0.6718, 0.9783, 0.2583)  1 Np 2.60, 1 Sm 2.76
S (0.7559, 0.1963, 0.5448)  1 Np 2.60, 1 Sm 2.79
S (0.7559, 0.3037, 0.0448)  1 Np 2.60, 1 Sm 2.79
S (0.8530, 0.7122, 0.5469)  1 Np 2.63, 1 Sm 2.78
S (0.8530, 0.7878, 0.0469)  1 Np 2.63, 1 Sm 2.78

Properties
N(E_F): 7.7 states/eV/f.u.
Space-group type: P2_1/c (14)
Energy relative to the elements, uncorrected: -1.778 eV/atom